Entry 1:
This record from Alexandria via LeMat-Bulk describes a geometry-optimized NdBi2Pd structure. The functional is PBE.

The structure in CIF format:
```
data_NdBi2Pd
_symmetry_space_group_name_H-M 'R -3 m'
_symmetry_Int_Tables_number 166
_symmetry_space_group_name_Hall '-R 3 2"'
_cell_length_a 3.5570
_cell_length_b 3.5570
_cell_length_c 31.6668
_cell_angle_alpha 90.00
_cell_angle_beta 90.00
_cell_angle_gamma 120.00
loop_
_atom_site_label
_atom_site_type_symbol
_atom_site_fract_x
_atom_site_fract_y
_atom_site_fract_z
_atom_site_occupancy
Nd1 Nd 0.0000 0.0000 0.0000 1
Bi1 Bi 0.0000 0.0000 0.1035 1
Pd1 Pd 0.0000 0.0000 0.5000 1
```

Results
Its formation energy is -0.10 eV per atom.

Entry 2:
This record from Alexandria via LeMat-Bulk describes a geometry-optimized K2NpTe4Pd2 structure. The functional is PBE.

The structure in CIF format:
```
data_K2NpTe4Pd2
_symmetry_space_group_name_H-M 'C 1 2/m 1'
_symmetry_Int_Tables_number 12
_cell_length_a 15.844
_cell_length_b 4.369
_cell_length_c 8.423
_cell_angle_alpha 90.00
_cell_angle_beta 108.90
_cell_angle_gamma 90.00
loop_
_symmetry_equiv_pos_as_xyz
'x,y,z'
'-x,-y,-z'
'-x,y,-z'
'x,-y,z'
'x+1/2,y+1/2,z'
'-x+1/2,-y+1/2,-z'
'-x+1/2,y+1/2,-z'
'x+1/2,-y+1/2,z'
loop_
_atom_site_label
_atom_site_type_symbol
_atom_site_fract_x
_atom_site_fract_y
_atom_site_fract_z
_atom_site_occupancy
K1 K 0.134 0.000 0.076 1
Np1 Np 0.000 0.000 0.500 1
Te1 Te 0.012 0.500 0.256 1
Te2 Te 0.199 0.000 0.683 1
Pd1 Pd 0.181 0.500 0.490 1
```

Results
The formation energy without anion corrections comes out at -718 meV/atom.

Entry 3:
This record from Alexandria via LeMat-Bulk describes a geometry-optimized ThVCo2 structure. The functional is PBE.

The structure in CIF format:
```
data_ThVCo2
_symmetry_space_group_name_H-M 'R -3 m'
_symmetry_Int_Tables_number 166
_symmetry_space_group_name_Hall '-R 3 2"'
_cell_length_a 3.9839
_cell_length_b 3.9839
_cell_length_c 14.9008
_cell_angle_alpha 90.00
_cell_angle_beta 90.00
_cell_angle_gamma 120.00
loop_
_atom_site_label
_atom_site_type_symbol
_atom_site_fract_x
_atom_site_fract_y
_atom_site_fract_z
_atom_site_occupancy
Th1 Th 0.0000 0.0000 0.0000 1
V1 V 0.0000 0.0000 0.5000 1
Co1 Co 0.0000 0.0000 0.2086 1
```

Results
Its formation energy is -0.18 eV per atom.

Entry 4:
This record from Alexandria via LeMat-Bulk describes a geometry-optimized ZnFe2CoN structure. The functional is PBE.

The structure in CIF format:
```
data_ZnFe2CoN
_symmetry_space_group_name_H-M 'P 4/m m m'
_symmetry_Int_Tables_number 123
_symmetry_space_group_name_Hall '-P 4 2'
_cell_length_a 3.779
_cell_length_b 3.779
_cell_length_c 3.791
_cell_angle_alpha 90.00
_cell_angle_beta 90.00
_cell_angle_gamma 90.00
loop_
_atom_site_label
_atom_site_type_symbol
_atom_site_fract_x
_atom_site_fract_y
_atom_site_fract_z
_atom_site_occupancy
Zn1 Zn 0.000 0.000 0.000 1
Fe1 Fe 0.000 0.500 0.500 1
Co1 Co 0.500 0.500 0.000 1
N1 N 0.500 0.500 0.500 1
```

Results
The formation energy without anion corrections comes out at -120 meV/atom.

Entry 5:
This record from Alexandria via LeMat-Bulk describes a geometry-optimized TbCdAu2 structure. The functional is PBE.

The structure in CIF format:
```
data_TbCdAu2
_symmetry_space_group_name_H-M 'P 4/m m m'
_symmetry_Int_Tables_number 123
_symmetry_space_group_name_Hall '-P 4 2'
_cell_length_a 4.734
_cell_length_b 4.734
_cell_length_c 3.912
_cell_angle_alpha 90.00
_cell_angle_beta 90.00
_cell_angle_gamma 90.00
loop_
_atom_site_label
_atom_site_type_symbol
_atom_site_fract_x
_atom_site_fract_y
_atom_site_fract_z
_atom_site_occupancy
Tb1 Tb 0.000 0.000 0.000 1
Cd1 Cd 0.500 0.500 0.000 1
Au1 Au 0.000 0.500 0.500 1
```

Results
Its formation energy is -0.54 eV per atom.

Entry 6:
This record from Alexandria via LeMat-Bulk describes a geometry-optimized RbHfTiW2 structure. The functional is PBE.

The structure in CIF format:
```
data_RbHfTiW2
_symmetry_space_group_name_H-M 'P 4/m m m'
_symmetry_Int_Tables_number 123
_symmetry_space_group_name_Hall '-P 4 2'
_cell_length_a 4.773
_cell_length_b 4.773
_cell_length_c 5.278
_cell_angle_alpha 90.00
_cell_angle_beta 90.00
_cell_angle_gamma 90.00
loop_
_atom_site_label
_atom_site_type_symbol
_atom_site_fract_x
_atom_site_fract_y
_atom_site_fract_z
_atom_site_occupancy
Rb1 Rb 0.000 0.000 0.000 1
Hf1 Hf 0.500 0.500 0.000 1
Ti1 Ti 0.500 0.500 0.500 1
W1 W 0.000 0.500 0.500 1
```

Results
Its formation energy is 1.91 eV per atom.

Entry 7:
This record from Alexandria via LeMat-Bulk describes a geometry-optimized ZnAs2 structure. The functional is PBE.

The structure in CIF format:
```
data_ZnAs2
_symmetry_space_group_name_H-M 'I 41/a m d'
_symmetry_Int_Tables_number 141
_cell_length_a 3.423
_cell_length_b 3.423
_cell_length_c 20.499
_cell_angle_alpha 90.00
_cell_angle_beta 90.00
_cell_angle_gamma 90.00
loop_
_symmetry_equiv_pos_as_xyz
'x,y,z'
'-x,-y,-z'
'-y+1/4,x+3/4,z+1/4'
'y+1/4,-x+3/4,-z+1/4'
'-x+1/2,-y,z+1/2'
'x+1/2,y,-z+1/2'
'y+1/4,-x+1/4,z+3/4'
'-y+1/4,x+1/4,-z+3/4'
'x,-y,-z'
'-x,y,z'
'-y+1/4,-x+1/4,-z+3/4'
'y+1/4,x+1/4,z+3/4'
'-x+1/2,y,-z+1/2'
'x+1/2,-y,z+1/2'
'y+1/4,x+3/4,-z+1/4'
'-y+1/4,-x+3/4,z+1/4'
'x+1/2,y+1/2,z+1/2'
'-x+1/2,-y+1/2,-z+1/2'
'-y+3/4,x+1/4,z+3/4'
'y+3/4,-x+1/4,-z+3/4'
'-x,-y+1/2,z'
'x,y+1/2,-z'
'y+3/4,-x+3/4,z+1/4'
'-y+3/4,x+3/4,-z+1/4'
'x+1/2,-y+1/2,-z+1/2'
'-x+1/2,y+1/2,z+1/2'
'-y+3/4,-x+3/4,-z+1/4'
'y+3/4,x+3/4,z+1/4'
'-x,y+1/2,-z'
'x,-y+1/2,z'
'y+3/4,x+1/4,-z+3/4'
'-y+3/4,-x+1/4,z+3/4'
loop_
_atom_site_label
_atom_site_type_symbol
_atom_site_fract_x
_atom_site_fract_y
_atom_site_fract_z
_atom_site_occupancy
Zn1 Zn 0.000 0.250 0.375 1
As1 As 0.000 0.250 0.795 1
```

Results
Its formation energy is 0.26 eV per atom.

Entry 8:
This record from Alexandria via LeMat-Bulk describes a geometry-optimized InPd3Au4 structure. The functional is PBE.

The structure in CIF format:
```
data_InPd3Au4
_symmetry_space_group_name_H-M 'C 1 2/m 1'
_symmetry_Int_Tables_number 12
_cell_length_a 14.400
_cell_length_b 2.826
_cell_length_c 8.142
_cell_angle_alpha 90.00
_cell_angle_beta 111.00
_cell_angle_gamma 90.00
loop_
_symmetry_equiv_pos_as_xyz
'x,y,z'
'-x,-y,-z'
'-x,y,-z'
'x,-y,z'
'x+1/2,y+1/2,z'
'-x+1/2,-y+1/2,-z'
'-x+1/2,y+1/2,-z'
'x+1/2,-y+1/2,z'
loop_
_atom_site_label
_atom_site_type_symbol
_atom_site_fract_x
_atom_site_fract_y
_atom_site_fract_z
_atom_site_occupancy
In1 In 0.000 0.000 0.000 1
Pd1 Pd 0.000 0.500 0.500 1
Pd2 Pd 0.166 0.500 0.010 1
Au1 Au 0.128 0.500 0.326 1
Au2 Au 0.195 0.500 0.695 1
```

Results
Its formation energy is 0.04 eV per atom.

Entry 9:
This record from Alexandria via LeMat-Bulk describes a geometry-optimized MoAsRu4 structure. The functional is PBE.

The structure in CIF format:
```
data_MoAsRu4
_symmetry_space_group_name_H-M 'F -4 3 m'
_symmetry_Int_Tables_number 216
_symmetry_space_group_name_Hall 'F -4 2 3'
_cell_length_a 7.204
_cell_length_b 7.204
_cell_length_c 7.204
_cell_angle_alpha 90.00
_cell_angle_beta 90.00
_cell_angle_gamma 90.00
loop_
_atom_site_label
_atom_site_type_symbol
_atom_site_fract_x
_atom_site_fract_y
_atom_site_fract_z
_atom_site_occupancy
Mo1 Mo 0.000 0.000 0.000 1
As1 As 0.250 0.250 0.250 1
Ru1 Ru 0.125 0.125 0.625 1
```

Results
Its formation energy is 0.60 eV per atom.

Entry 10:
This record from Alexandria via LeMat-Bulk describes a geometry-optimized KIr2Os structure. The functional is PBE.

The structure in CIF format:
```
data_KIr2Os
_symmetry_space_group_name_H-M 'P m m m'
_symmetry_Int_Tables_number 47
_cell_length_a 2.676
_cell_length_b 5.006
_cell_length_c 5.138
_cell_angle_alpha 90.00
_cell_angle_beta 90.00
_cell_angle_gamma 90.00
loop_
_symmetry_equiv_pos_as_xyz
'x,y,z'
'-x,-y,-z'
'-x,-y,z'
'x,y,-z'
'x,-y,-z'
'-x,y,z'
'-x,y,-z'
'x,-y,z'
loop_
_atom_site_label
_atom_site_type_symbol
_atom_site_fract_x
_atom_site_fract_y
_atom_site_fract_z
_atom_site_occupancy
K1 K 0.000 0.000 0.000 1
Ir1 Ir 0.000 0.500 0.500 1
Ir2 Ir 0.500 0.500 0.000 1
Os1 Os 0.500 0.000 0.500 1
```

Results
Its formation energy is 1.36 eV per atom.

Entry 11:
This record from Alexandria via LeMat-Bulk describes a geometry-optimized PmCu2Pt2 structure. The functional is PBE.

The structure in CIF format:
```
data_PmCu2Pt2
_symmetry_space_group_name_H-M 'I 4/m m m'
_symmetry_Int_Tables_number 139
_symmetry_space_group_name_Hall '-I 4 2'
_cell_length_a 4.027
_cell_length_b 4.027
_cell_length_c 22.259
_cell_angle_alpha 90.00
_cell_angle_beta 90.00
_cell_angle_gamma 90.00
loop_
_atom_site_label
_atom_site_type_symbol
_atom_site_fract_x
_atom_site_fract_y
_atom_site_fract_z
_atom_site_occupancy
Pm1 Pm 0.000 0.000 0.128 1
Cu1 Cu 0.000 0.000 0.321 1
Cu2 Cu 0.000 0.500 0.000 1
Pt1 Pt 0.000 0.000 0.430 1
Pt2 Pt 0.000 0.500 0.250 1
```

Results
Its formation energy is -0.56 eV per atom.

Entry 12:
This record from Alexandria via LeMat-Bulk describes a geometry-optimized Rb4SrMg3F12 structure. The functional is PBE.

The structure in CIF format:
```
data_Rb4SrMg3F12
_symmetry_space_group_name_H-M 'I m -3 m'
_symmetry_Int_Tables_number 229
_symmetry_space_group_name_Hall '-I 4 2 3'
_cell_length_a 8.578
_cell_length_b 8.578
_cell_length_c 8.578
_cell_angle_alpha 90.00
_cell_angle_beta 90.00
_cell_angle_gamma 90.00
loop_
_atom_site_label
_atom_site_type_symbol
_atom_site_fract_x
_atom_site_fract_y
_atom_site_fract_z
_atom_site_occupancy
Rb1 Rb 0.250 0.250 0.250 1
Sr1 Sr 0.000 0.000 0.000 1
Mg1 Mg 0.000 0.000 0.500 1
F1 F 0.000 0.000 0.274 1
F2 F 0.000 0.250 0.500 1
```

Results
The formation energy without anion corrections comes out at -3281 meV/atom.

Entry 13:
This record from Alexandria via LeMat-Bulk describes a geometry-optimized Hf5CoBi structure. The functional is PBE.

The structure in CIF format:
```
data_Hf5CoBi
_symmetry_space_group_name_H-M 'C 1 2/c 1'
_symmetry_Int_Tables_number 15
_cell_length_a 9.530
_cell_length_b 7.453
_cell_length_c 9.992
_cell_angle_alpha 90.00
_cell_angle_beta 114.83
_cell_angle_gamma 90.00
loop_
_symmetry_equiv_pos_as_xyz
'x,y,z'
'-x,-y,-z'
'-x,y,-z+1/2'
'x,-y,z+1/2'
'x+1/2,y+1/2,z'
'-x+1/2,-y+1/2,-z'
'-x+1/2,y+1/2,-z+1/2'
'x+1/2,-y+1/2,z+1/2'
loop_
_atom_site_label
_atom_site_type_symbol
_atom_site_fract_x
_atom_site_fract_y
_atom_site_fract_z
_atom_site_occupancy
Hf1 Hf 0.000 0.174 0.250 1
Hf2 Hf 0.128 0.111 0.995 1
Hf3 Hf 0.212 0.135 0.742 1
Co1 Co 0.250 0.250 0.500 1
Bi1 Bi 0.000 0.428 0.750 1
```

Results
Its formation energy is 0.27 eV per atom.

Entry 14:
This record from Alexandria via LeMat-Bulk describes a geometry-optimized NaCoGe structure. The functional is PBE.

The structure in CIF format:
```
data_NaCoGe
_symmetry_space_group_name_H-M 'C 1 2/m 1'
_symmetry_Int_Tables_number 12
_cell_length_a 5.526
_cell_length_b 7.232
_cell_length_c 5.892
_cell_angle_alpha 90.00
_cell_angle_beta 116.97
_cell_angle_gamma 90.00
loop_
_symmetry_equiv_pos_as_xyz
'x,y,z'
'-x,-y,-z'
'-x,y,-z'
'x,-y,z'
'x+1/2,y+1/2,z'
'-x+1/2,-y+1/2,-z'
'-x+1/2,y+1/2,-z'
'x+1/2,-y+1/2,z'
loop_
_atom_site_label
_atom_site_type_symbol
_atom_site_fract_x
_atom_site_fract_y
_atom_site_fract_z
_atom_site_occupancy
Na1 Na 0.000 0.192 0.000 1
Co1 Co 0.000 0.276 0.500 1
Ge1 Ge 0.237 0.500 0.399 1
```

Results
Its formation energy is -0.03 eV per atom.

Entry 15:
This record from Alexandria via LeMat-Bulk describes a geometry-optimized AcPm2SmDy5 structure. The functional is PBE.

The structure in CIF format:
```
data_AcPm2SmDy5
_symmetry_space_group_name_H-M 'I 4/m c m'
_symmetry_Int_Tables_number 140
_symmetry_space_group_name_Hall '-I 4 2c'
_cell_length_a 8.856
_cell_length_b 8.856
_cell_length_c 15.638
_cell_angle_alpha 90.00
_cell_angle_beta 90.00
_cell_angle_gamma 90.00
loop_
_atom_site_label
_atom_site_type_symbol
_atom_site_fract_x
_atom_site_fract_y
_atom_site_fract_z
_atom_site_occupancy
Ac1 Ac 0.000 0.000 0.250 1
Pm1 Pm 0.117 0.383 0.000 1
Sm1 Sm 0.000 0.500 0.250 1
Dy1 Dy 0.000 0.000 0.000 1
Dy2 Dy 0.206 0.294 0.368 1
```

Results
Its formation energy is 0.25 eV per atom.

Entry 16:
This record from Alexandria via LeMat-Bulk describes a geometry-optimized KTbPaS4 structure. The functional is PBE.

The structure in CIF format:
```
data_KTbPaS4
_symmetry_space_group_name_H-M 'I m m a'
_symmetry_Int_Tables_number 74
_symmetry_space_group_name_Hall '-I 2b 2'
_cell_length_a 8.391
_cell_length_b 8.436
_cell_length_c 11.882
_cell_angle_alpha 90.00
_cell_angle_beta 90.00
_cell_angle_gamma 90.00
loop_
_atom_site_label
_atom_site_type_symbol
_atom_site_fract_x
_atom_site_fract_y
_atom_site_fract_z
_atom_site_occupancy
K1 K 0.000 0.250 0.128 1
Tb1 Tb 0.250 0.250 0.750 1
Pa1 Pa 0.000 0.000 0.500 1
S1 S 0.000 0.036 0.728 1
S2 S 0.210 0.250 0.517 1
```

Results
The formation energy without anion corrections comes out at -1710 meV/atom.

Entry 17:
This record from Alexandria via LeMat-Bulk describes a geometry-optimized Mn5AlCr4 structure. The functional is PBE.

The structure in CIF format:
```
data_Mn5AlCr4
_symmetry_space_group_name_H-M 'P 4/m m m'
_symmetry_Int_Tables_number 123
_symmetry_space_group_name_Hall '-P 4 2'
_cell_length_a 2.821
_cell_length_b 2.821
_cell_length_c 14.272
_cell_angle_alpha 90.00
_cell_angle_beta 90.00
_cell_angle_gamma 90.00
loop_
_atom_site_label
_atom_site_type_symbol
_atom_site_fract_x
_atom_site_fract_y
_atom_site_fract_z
_atom_site_occupancy
Mn1 Mn 0.000 0.000 0.000 1
Mn2 Mn 0.000 0.000 0.194 1
Mn3 Mn 0.000 0.000 0.389 1
Al1 Al 0.500 0.500 0.500 1
Cr1 Cr 0.500 0.500 0.100 1
Cr2 Cr 0.500 0.500 0.301 1
```

Results
Its formation energy is -0.06 eV per atom.

Entry 18:
This record from Alexandria via LeMat-Bulk describes a geometry-optimized Tm2TcPd structure. The functional is PBE.

The structure in CIF format:
```
data_Tm2TcPd
_symmetry_space_group_name_H-M 'P 4/m m m'
_symmetry_Int_Tables_number 123
_symmetry_space_group_name_Hall '-P 4 2'
_cell_length_a 3.448
_cell_length_b 3.448
_cell_length_c 6.739
_cell_angle_alpha 90.00
_cell_angle_beta 90.00
_cell_angle_gamma 90.00
loop_
_atom_site_label
_atom_site_type_symbol
_atom_site_fract_x
_atom_site_fract_y
_atom_site_fract_z
_atom_site_occupancy
Tm1 Tm 0.000 0.000 0.242 1
Tc1 Tc 0.500 0.500 0.000 1
Pd1 Pd 0.500 0.500 0.500 1
```

Results
Its formation energy is -0.50 eV per atom.

Entry 19:
This record from Alexandria via LeMat-Bulk describes a geometry-optimized TbPaNiRu structure. The functional is PBE.

The structure in CIF format:
```
data_TbPaNiRu
_symmetry_space_group_name_H-M 'F -4 3 m'
_symmetry_Int_Tables_number 216
_symmetry_space_group_name_Hall 'F -4 2 3'
_cell_length_a 6.810
_cell_length_b 6.810
_cell_length_c 6.810
_cell_angle_alpha 90.00
_cell_angle_beta 90.00
_cell_angle_gamma 90.00
loop_
_atom_site_label
_atom_site_type_symbol
_atom_site_fract_x
_atom_site_fract_y
_atom_site_fract_z
_atom_site_occupancy
Tb1 Tb 0.000 0.000 0.000 1
Pa1 Pa 0.000 0.000 0.500 1
Ni1 Ni 0.250 0.250 0.750 1
Ru1 Ru 0.250 0.250 0.250 1
```

Results
Its formation energy is -0.29 eV per atom.

Entry 20:
This record from Alexandria via LeMat-Bulk describes a geometry-optimized MnV2Ge2 structure. The functional is PBE.

The structure in CIF format:
```
data_MnV2Ge2
_symmetry_space_group_name_H-M 'P 4/m b m'
_symmetry_Int_Tables_number 127
_symmetry_space_group_name_Hall '-P 4 2ab'
_cell_length_a 6.426
_cell_length_b 6.426
_cell_length_c 3.423
_cell_angle_alpha 90.00
_cell_angle_beta 90.00
_cell_angle_gamma 90.00
loop_
_atom_site_label
_atom_site_type_symbol
_atom_site_fract_x
_atom_site_fract_y
_atom_site_fract_z
_atom_site_occupancy
Mn1 Mn 0.000 0.000 0.000 1
V1 V 0.167 0.333 0.500 1
Ge1 Ge 0.138 0.638 0.000 1
```

Results
Its formation energy is -0.15 eV per atom.